a | Material: VReB
Method: DFT, PBE
State: relaxed

Summary:
V = 267.6 Å³/cell

abc: 4.5911 7.5357 7.7341
angles: 90.00 90.00 90.00
With the nearest neighbours (Å) after each atom.
Space group Fmmm (No. 69)
Inequivalent atoms, fractional coordinates:
V  0.0000  0.1701  0.0000 x8  4 B 2.33, 3 V 2.56-2.59
Re  0.0000  0.0000  0.3337 x8  4 B 2.30, 1 Re 2.57
B  0.2500  0.2500  0.2500 x8  2 B 2.30, 4 Re 2.30, 4 V 2.33



b | Material: VReB
Method: DFT, PBE
State: relaxed

Summary:
V = 133.0 Å³/cell

abc: 3.0492 14.4957 3.0082
angles: 90.00 90.00 90.00
With the nearest neighbours (Å) after each atom.
Space group Cmcm (No. 63)
Inequivalent atoms, fractional coordinates:
V  0.0000  0.0807  0.2500 x4  6 B 2.24-2.26
Re  0.0000  0.3056  0.2500 x4  1 B 2.32
B  0.0000  0.4656  0.2500 x4  2 B 1.80



Most stable: b



a | Material: VRe2B2
Method: DFT, PBE
State: relaxed

Summary:
V = 119.2 Å³/cell

abc: 3.6646 3.6646 8.8772
angles: 90.00 90.00 90.00
With the nearest neighbours (Å) after each atom.
Space group I4/mmm (No. 139)
Inequivalent atoms, fractional coordinates:
V  0.0000  0.0000  0.0000 x2  8 B 2.73, 8 Re 2.88
Re  0.0000  0.5000  0.2500 x4  4 B 2.28
B  0.0000  0.0000  0.4035 x4  1 B 1.71



b | Material: VRe2B2
Method: DFT, PBE
State: relaxed

Summary:
V = 107.2 Å³/cell

abc: 5.9873 5.9873 2.9900
angles: 90.00 90.00 90.00
With the nearest neighbours (Å) after each atom.
Space group P4/mbm (No. 127)
Inequivalent atoms, fractional coordinates:
V  0.0000  0.0000  0.0000 x2  4 B 2.35
Re  0.1632  0.3368  0.5000 x4  6 B 2.31
B  0.1292  0.6292  0.0000 x4  1 B 2.19, 6 Re 2.31, 2 V 2.35



Most stable: b



a | Material: VReB2
Method: DFT, PBE
State: relaxed

Summary:
V = 213.6 Å³/cell

abc: 4.7171 4.7171 9.5998
angles: 90.00 90.00 90.00
With the nearest neighbours (Å) after each atom.
Space group I-42d (No. 122)
Inequivalent atoms, fractional coordinates:
V  0.0000  0.0000  0.0000 x4  4 B 2.08
Re  0.0000  0.0000  0.5000 x4  4 B 2.03
B  0.2423  0.2500  0.6250 x8  2 Re 2.03, 2 V 2.08



b | Material: VReB2
Method: DFT, PBE
State: relaxed

Summary:
V = 159.1 Å³/cell

abc: 5.4184 5.4184 5.4184
angles: 90.00 90.00 90.00
With the nearest neighbours (Å) after each atom.
Space group Fm-3m (No. 225)
Inequivalent atoms, fractional coordinates:
V  0.0000  0.0000  0.0000 x4  8 B 2.35
Re  0.0000  0.0000  0.5000 x4  8 B 2.35
B  0.2500  0.2500  0.2500 x8  4 Re 2.35, 4 V 2.35



c | Material: VReB2
Method: DFT, PBE
State: relaxed

Summary:
V = 123.3 Å³/cell

abc: 3.0584 3.0584 15.2242
angles: 90.00 90.00 120.00
With the nearest neighbours (Å) after each atom.
Space group R-3m (No. 166, hexagonal axes)
Inequivalent atoms, fractional coordinates:
V  0.0000  0.0000  0.0000 x3  6 B 2.15
Re  0.0000  0.0000  0.5000 x3  6 B 2.20
B  0.0000  0.0000  0.2528 x6  3 V 2.15, 3 Re 2.20



d | Material: VReB2
Method: DFT, PBE
State: relaxed

Summary:
V = 38.3 Å³/cell

abc: 3.0819 3.0097 4.4083
angles: 90.00 110.59 90.00
With the nearest neighbours (Å) after each atom.
Space group Pm (No. 6)
Inequivalent atoms, fractional coordinates:
V  0.0000  0.0000  0.0000 x1  7 B 2.24-2.49
Re  0.2906  0.5000  0.5785 x1  7 B 2.28-2.36
B  0.5728  0.5000  0.1473 x1  2 B 1.82
B  0.6995  0.0000  0.3959 x1  2 B 1.82



Most stable: d



a | Material: VReB3
Method: DFT, PBE
State: relaxed

Summary:
V = 178.3 Å³/cell

abc: 3.2499 18.4337 2.9758
angles: 90.00 90.00 90.00
With the nearest neighbours (Å) after each atom.
Space group Cmcm (No. 63)
Inequivalent atoms, fractional coordinates:
V  0.0000  0.2029  0.2500 x4  7 B 2.23-2.27
Re  0.0000  0.0764  0.7500 x4  12 B 2.35-2.46
B  0.0000  0.3262  0.2500 x4  2 B 1.78
B  0.0000  0.3796  0.7500 x4  3 B 1.78
B  0.0000  0.4761  0.7500 x4  3 B 1.73-1.78



b | Material: VReB3
Method: DFT, PBE
State: relaxed

Summary:
V = 66.6 Å³/cell

abc: 4.0525 4.0525 4.0525
angles: 90.00 90.00 90.00
With the nearest neighbours (Å) after each atom.
Space group Pm-3m (No. 221)
Inequivalent atoms, fractional coordinates:
V  0.0000  0.0000  0.0000 x1  12 B 2.87
Re  0.5000  0.5000  0.5000 x1  6 B 2.03
B  0.0000  0.5000  0.5000 x3  2 Re 2.03



Most stable: a



a | Material: ReB2W2
Method: DFT, PBE
State: relaxed

Summary:
V = 115.0 Å³/cell

abc: 6.0342 6.0342 3.1574
angles: 90.00 90.00 90.00
With the nearest neighbours (Å) after each atom.
Space group P4/mbm (No. 127)
Inequivalent atoms, fractional coordinates:
Re  0.0000  0.0000  0.0000 x2  4 B 2.41
B  0.1183  0.3817  0.0000 x4  1 B 2.02
W  0.1670  0.6670  0.5000 x4  6 B 2.35-2.42



b | Material: ReB2W2
Method: DFT, PBE
State: relaxed

Summary:
V = 259.5 Å³/cell

abc: 4.7724 11.6844 4.6535
angles: 90.00 90.00 90.00
With the nearest neighbours (Å) after each atom.
Space group Cmcm (No. 63)
Inequivalent atoms, fractional coordinates:
Re  0.0000  0.0000  0.0000 x4  4 B 2.25, 2 Re 2.33
B  0.1828  0.3980  0.2500 x8  1 B 1.75
W  0.0000  0.2226  0.2500 x4  2 B 2.23
W  0.0000  0.4090  0.7500 x4  6 B 2.42-2.49



Most stable: a



a | Material: Re3BW
Method: DFT, PBE
State: relaxed

Summary:
V = 137.7 Å³/cell

abc: 5.6809 4.2141 5.7519
angles: 90.00 90.00 90.00
With the nearest neighbours (Å) after each atom.
Space group Pmma (No. 51)
Inequivalent atoms, fractional coordinates:
Re  0.0020  0.0000  0.2234 x4  2 B 2.13
Re  0.2500  0.5000  0.0118 x2  10 Re 2.81-2.88, 2 W 2.81-2.94
B  0.2500  0.0000  0.5014 x2  2 W 2.11, 4 Re 2.13
W  0.2500  0.5000  0.5010 x2  2 B 2.11



b | Material: Re3BW
Method: DFT, PBE
State: relaxed

Summary:
V = 69.7 Å³/cell

abc: 4.1159 4.1159 4.1159
angles: 90.00 90.00 90.00
With the nearest neighbours (Å) after each atom.
Space group Pm-3m (No. 221)
Inequivalent atoms, fractional coordinates:
Re  0.0000  0.0000  0.5000 x3  2 B 2.06
B  0.0000  0.0000  0.0000 x1  6 Re 2.06
W  0.5000  0.5000  0.5000 x1  12 Re 2.91



c | Material: Re3BW
Method: DFT, PBE
State: relaxed

Summary:
V = 212.9 Å³/cell

abc: 6.2143 6.2143 6.3655
angles: 90.00 90.00 120.00
With the nearest neighbours (Å) after each atom.
Space group R3m (No. 160, hexagonal axes)
Inequivalent atoms, fractional coordinates:
Re  0.0527  0.5264  0.0000 x9  2 B 2.12-2.27
B  0.0000  0.0000  0.6000 x3  6 Re 2.12-2.27, 1 W 2.36
W  0.0000  0.0000  0.9714 x3  1 B 2.36



d | Material: Re3BW
Method: DFT, PBE
State: relaxed

Summary:
V = 107.4 Å³/cell

abc: 4.7527 4.7527 4.7527
angles: 90.00 90.00 90.00
With the nearest neighbours (Å) after each atom.
Space group Pm-3m (No. 221)
Inequivalent atoms, fractional coordinates:
Re  0.0000  0.0000  0.5000 x3  2 W 2.38
B  0.5000  0.5000  0.5000 x1  12 Re 3.36
W  0.0000  0.0000  0.0000 x1  6 Re 2.38



Most stable: a



a | Material: ReB3W
Method: DFT, PBE
State: relaxed

Summary:
V = 62.9 Å³/cell

abc: 3.9774 3.9774 3.9774
angles: 90.00 90.00 90.00
With the nearest neighbours (Å) after each atom.
Space group Pm-3m (No. 221)
Inequivalent atoms, fractional coordinates:
Re  0.0000  0.0000  0.0000 x1  6 B 1.99
B  0.0000  0.0000  0.5000 x3  2 Re 1.99
W  0.5000  0.5000  0.5000 x1  12 B 2.81



b | Material: ReB3W
Method: DFT, PBE
State: relaxed

Summary:
V = 64.2 Å³/cell

abc: 4.0038 4.0038 4.0038
angles: 90.00 90.00 90.00
With the nearest neighbours (Å) after each atom.
Space group Pm-3m (No. 221)
Inequivalent atoms, fractional coordinates:
Re  0.0000  0.0000  0.0000 x1  12 B 2.83
B  0.0000  0.5000  0.5000 x3  2 W 2.00
W  0.5000  0.5000  0.5000 x1  6 B 2.00



Most stable: a



a | Material: YReB2
Method: DFT, PBE
State: relaxed

Summary:
V = 263.3 Å³/cell

abc: 4.3296 4.3296 14.0433
angles: 90.00 90.00 90.00
With the nearest neighbours (Å) after each atom.
Space group I4_1/amd (No. 141, origin choice 2)
Inequivalent atoms, fractional coordinates:
Y  0.0000  0.2500  0.3750 x4  8 B 2.99, 4 Re 3.06
Re  0.0000  0.2500  0.8750 x4  4 B 2.06
B  0.0000  0.0000  0.0000 x8  2 Re 2.06, 2 B 2.16



b | Material: YReB2
Method: DFT, PBE
State: relaxed

Summary:
V = 207.3 Å³/cell

abc: 5.9186 5.9186 5.9186
angles: 90.00 90.00 90.00
With the nearest neighbours (Å) after each atom.
Space group Fm-3m (No. 225)
Inequivalent atoms, fractional coordinates:
Y  0.0000  0.0000  0.0000 x4  8 B 2.56
Re  0.0000  0.0000  0.5000 x4  8 B 2.56
B  0.2500  0.2500  0.2500 x8  4 Re 2.56, 4 Y 2.56



Most stable: a



a | Material: Y3ReB7
Method: DFT, PBE
State: relaxed

Summary:
V = 558.7 Å³/cell

abc: 3.6505 15.1308 10.1154
angles: 90.00 90.00 90.00
With the nearest neighbours (Å) after each atom.
Space group Cmcm (No. 63)
Inequivalent atoms, fractional coordinates:
Y  0.0000  0.0292  0.2500 x4  14 B 2.59-2.88
Y  0.0000  0.1646  0.5557 x8  8 B 2.57-2.85
Re  0.0000  0.2256  0.2500 x4  5 B 2.28-2.36
B  0.0000  0.3424  0.6604 x8  2 B 1.81-1.92
B  0.0000  0.3818  0.2500 x4  2 B 1.70
B  0.0000  0.4481  0.1143 x8  3 B 1.68-1.72
B  0.0000  0.4478  0.5553 x8  2 B 1.68-1.72



b | Material: Y3ReB7
Method: DFT, PBE
State: relaxed

Summary:
V = 525.4 Å³/cell

abc: 3.5401 15.8305 9.3744
angles: 90.00 90.00 90.00
With the nearest neighbours (Å) after each atom.
Space group Cmcm (No. 63)
Inequivalent atoms, fractional coordinates:
Y  0.0000  0.1051  0.0601 x8  11 B 2.65-2.76
Y  0.0000  0.2421  0.7500 x4  10 B 2.65-2.70
Re  0.0000  0.0529  0.7500 x4  10 B 2.33-2.36
B  0.0000  0.2729  0.0333 x8  3 B 1.87-2.01
B  0.0000  0.3681  0.1508 x8  3 B 1.84-1.87
B  0.0000  0.4576  0.7500 x4  2 B 1.76
B  0.0000  0.4793  0.0953 x8  3 B 1.76-1.90



Most stable: b



a | Material: Zn3ReB
Method: DFT, PBE
State: relaxed

Summary:
V = 69.3 Å³/cell

abc: 4.1076 4.1076 4.1076
angles: 90.00 90.00 90.00
With the nearest neighbours (Å) after each atom.
Space group Pm-3m (No. 221)
Inequivalent atoms, fractional coordinates:
Zn  0.0000  0.0000  0.5000 x3  2 B 2.05
Re  0.5000  0.5000  0.5000 x1  12 Zn 2.90
B  0.0000  0.0000  0.0000 x1  6 Zn 2.05



b | Material: Zn3ReB
Method: DFT, PBE
State: relaxed

Summary:
V = 113.4 Å³/cell

abc: 4.8401 4.8401 4.8401
angles: 90.00 90.00 90.00
With the nearest neighbours (Å) after each atom.
Space group Pm-3m (No. 221)
Inequivalent atoms, fractional coordinates:
Zn  0.0000  0.0000  0.5000 x3  2 Re 2.42
Re  0.0000  0.0000  0.0000 x1  6 Zn 2.42
B  0.5000  0.5000  0.5000 x1  12 Zn 3.42



Most stable: a